MoSeS3Br: relaxed, PBE.

Cell and atoms, written as CIF:
```
data_MoSeS3Br
_chemical_formula_sum 'Mo2 Se2 S6 Br2'
_cell_length_a 6.2314
_cell_length_b 7.9034
_cell_length_c 7.9078
_cell_angle_alpha 105.81
_cell_angle_beta 113.12
_cell_angle_gamma 104.88
_symmetry_space_group_name_H-M 'P 1'
_symmetry_Int_Tables_number 1
_symmetry_space_group_name_Hall 'P 1'
loop_
_atom_site_label
_atom_site_type_symbol
_atom_site_fract_x
_atom_site_fract_y
_atom_site_fract_z
Br1 Br 0.1066 0.7563 0.3732
Br2 Br 0.8934 0.2437 0.6268
Mo1 Mo 0.7754 0.0007 0.0003
Mo2 Mo 0.2246 0.9993 0.9997
S1 S 0.4804 0.8021 0.0884
S2 S 0.1706 0.2841 0.1544
S3 S 0.1786 0.0885 0.2997
S4 S 0.8214 0.9115 0.7003
S5 S 0.8294 0.7159 0.8456
S6 S 0.5196 0.1979 0.9116
Se1 Se 0.7026 0.2535 0.2416
Se2 Se 0.2974 0.7465 0.7584
```

## Properties
energy above the lowest structure with this stoichiometry = 0.039 eV per atom
M_tot = 0.00 μB/f.u.
density = 3.71 g/cm3
total energy = -5.12 eV/atom

---

LuAsSe: relaxed, PBE.

Cell and atoms, written as CIF:
```
data_LuAsSe
_chemical_formula_sum 'Lu4 As4 Se4'
_cell_length_a 3.8477
_cell_length_b 17.1822
_cell_length_c 5.4555
_cell_angle_alpha 90.00
_cell_angle_beta 134.82
_cell_angle_gamma 90.00
_symmetry_space_group_name_H-M 'P 1'
_symmetry_Int_Tables_number 1
_symmetry_space_group_name_Hall 'P 1'
loop_
_atom_site_label
_atom_site_type_symbol
_atom_site_fract_x
_atom_site_fract_y
_atom_site_fract_z
As1 As 0.9733 0.0010 0.2233
As2 As 0.0267 0.5010 0.2767
As3 As 0.9733 0.4990 0.7233
As4 As 0.0267 0.9990 0.7767
Lu1 Lu 0.4902 0.3605 0.2402
Lu2 Lu 0.5098 0.8605 0.2598
Lu3 Lu 0.4902 0.1395 0.7402
Lu4 Lu 0.5098 0.6395 0.7598
Se1 Se 0.4922 0.1880 0.2422
Se2 Se 0.5078 0.6880 0.2578
Se3 Se 0.4922 0.3120 0.7422
Se4 Se 0.5078 0.8120 0.7578
```

## Properties
M_tot = 0.00 μB/f.u.
density = 8.54 g/cm3
total energy = -5.59 eV/atom